1.
SrCo2SnN after structural relaxation. Source: the Alexandria database, functional PBE-GGA.

Its uncorrected formation energy is 0.51 eV per atom. The calculation puts the density at 6.54 g/cm³. The calculation puts the calculated total energy at -5.130 eV/atom. For the density of states at the Fermi level, the calculation gives 1.26 states/eV/atom.

It has space group P4/mmm (No. 123), with a = 4.159 Å, b = 4.159 Å, c = 4.962 Å, α = 90.00°, β = 90.00° and γ = 90.00°. The inequivalent atoms are Sr at (0.000, 0.000, 0.000), Co at (0.000, 0.500, 0.500), Sn at (0.500, 0.500, 0.000) and N at (0.500, 0.500, 0.500).



2.
TlCo2SnN after structural relaxation. Source: the Alexandria database, functional PBE-GGA.

Its uncorrected formation energy is 2.33 eV per atom. The calculation puts the density at 5.41 g/cm³. The calculation puts the calculated total energy at -3.455 eV/atom. For the density of states at the Fermi level, the calculation gives 1.27 states/eV/atom.

It has space group P4/mmm (No. 123), with a = 4.925 Å, b = 4.925 Å, c = 5.761 Å, α = 90.00°, β = 90.00° and γ = 90.00°. The inequivalent atoms are Tl at (0.000, 0.000, 0.000), Co at (0.000, 0.500, 0.000), Sn at (0.000, 0.000, 0.500) and N at (0.500, 0.500, 0.500).



3.
Y2CoSnN after structural relaxation. Source: the Alexandria database, functional PBE-GGA.

Its uncorrected formation energy is -0.76 eV per atom. The calculation puts the density at 6.46 g/cm³. The calculation puts the calculated total energy at -7.233 eV/atom. For the density of states at the Fermi level, the calculation gives 0.58 states/eV/atom.

It has space group P4/mmm (No. 123), with a = 4.973 Å, b = 4.973 Å, c = 3.838 Å, α = 90.00°, β = 90.00° and γ = 90.00°. The inequivalent atoms are Y at (0.000, 0.500, 0.000), Co at (0.000, 0.000, 0.500), Sn at (0.500, 0.500, 0.500) and N at (0.000, 0.000, 0.000).



4.
SrCo3N after structural relaxation. Source: the Alexandria database, functional PBE-GGA.

For the energy relative to the lowest polymorph listed for this composition, the calculation gives 2902.8 meV per atom. Its uncorrected formation energy is 3.21 eV per atom. The calculation puts the density at 4.17 g/cm³. The calculation puts the calculated total energy at -3.050 eV/atom. For the density of states at the Fermi level, the calculation gives 1.02 states/eV/atom.

It has space group Pm-3m (No. 221), with a = 4.802 Å, b = 4.802 Å, c = 4.802 Å, α = 90.00°, β = 90.00° and γ = 90.00°. The inequivalent atoms are Sr at (0.000, 0.000, 0.000), Co at (0.000, 0.000, 0.500) and N at (0.500, 0.500, 0.500).



5.
Sr8Co3N8 after structural relaxation. Source: the Alexandria database, functional PBE-GGA.

Its uncorrected formation energy is -0.53 eV per atom. The calculation puts the density at 4.59 g/cm³. The calculation puts the calculated total energy at -5.864 eV/atom. For the density of states at the Fermi level, the calculation gives 0.70 states/eV/atom.

It has space group C2/m (No. 12), with a = 18.649 Å, b = 5.333 Å, c = 7.463 Å, α = 90.00°, β = 105.43° and γ = 90.00°. The inequivalent atoms are Sr at (0.030, 0.000, 0.266), Sr at (0.095, 0.500, 0.962), Sr at (0.167, 0.500, 0.476), Sr at (0.201, 0.000, 0.813), Co at (0.000, 0.500, 0.500), Co at (0.187, 0.000, 0.208), N at (0.026, 0.500, 0.285), N at (0.107, 0.000, 0.013), N at (0.178, 0.000, 0.434) and N at (0.223, 0.500, 0.834).



6.
SrCo2N2 after structural relaxation. Source: the Alexandria database, functional PBE-GGA.

Its uncorrected formation energy is -0.09 eV per atom. The calculation puts the density at 6.48 g/cm³. The calculation puts the calculated total energy at -6.600 eV/atom. For the density of states at the Fermi level, the calculation gives 0.88 states/eV/atom.

It has space group P-3m1 (No. 164), with a = 3.3425 Å, b = 3.3425 Å, c = 6.1870 Å, α = 90.00°, β = 90.00° and γ = 120.00°. The inequivalent atoms are Sr at (0.0000, 0.0000, 0.0000), Co at (0.3333, 0.6667, 0.3805) and N at (0.3333, 0.6667, 0.6955).